# 1
## CrCoCl (PBE)

Data for CrCoCl after structural relaxation.

a = 3.8978 Å, b = 3.8978 Å, c = 3.1054 Å
α = 90.00°, β = 90.00°, γ = 120.00°
Fractional positions:
Cr: 0.0000 0.0000 0.0000
Co: 0.3333 0.6667 0.5134
Cl: 0.6667 0.3333 0.4763

## Properties
formation energy (no corrections): 600 meV/atom
calculated volume: 13.6 Å³ per atom
VASP energy: -5.592 eV/atom
D(E_F): 4.0 states/eV per cell


# 2
## CrCo2Cl (PBE)

Data for CrCo2Cl after structural relaxation.

a = 7.7005 Å, b = 7.7005 Å, c = 7.7005 Å
α = 21.01°, β = 21.01°, γ = 21.01°
Fractional positions:
Cr: 0.0000 0.0000 0.0000
Co: 0.2524 0.2524 0.2524
Co: 0.7476 0.7476 0.7476
Cl: 0.5000 0.5000 0.5000

## Properties
formation energy (no corrections): 424 meV/atom
calculated volume: 12.8 Å³ per atom
VASP energy: -5.996 eV/atom
D(E_F): 4.5 states/eV per cell


# 3
## Cr2CoCl (PBE)

Data for Cr2CoCl after structural relaxation.

a = 2.7814 Å, b = 3.3608 Å, c = 6.3107 Å
α = 90.00°, β = 90.00°, γ = 90.00°
Fractional positions:
Cr: 0.0000 0.0000 0.1739
Cr: 0.0000 0.0000 0.8261
Co: 0.5000 0.5000 0.0000
Cl: 0.5000 0.0000 0.5000

## Properties
formation energy (no corrections): 365 meV/atom
calculated volume: 14.7 Å³ per atom
VASP energy: -6.684 eV/atom
D(E_F): 4.9 states/eV per cell


# 4
## CrCoCl2 (PBE)

Data for CrCoCl2 after structural relaxation.

a = 6.6746 Å, b = 6.6746 Å, c = 6.6746 Å
α = 133.05°, β = 133.05°, γ = 68.57°
Fractional positions:
Cr: 0.0000 0.0000 0.0000
Cr: 0.7500 0.2500 0.5000
Co: 0.2500 0.7500 0.5000
Co: 0.5000 0.5000 0.0000
Cl: 0.1567 0.6250 0.0317
Cl: 0.3750 0.4067 0.5317
Cl: 0.5933 0.1250 0.9683
Cl: 0.8750 0.8433 0.4683

## Properties
formation energy (no corrections): 173 meV/atom
calculated volume: 19.5 Å³ per atom
VASP energy: -4.932 eV/atom
D(E_F): 19.7 states/eV per cell


# 5
## CrCoCl2 (PBE)

Data for CrCoCl2 after structural relaxation.

a = 8.6374 Å, b = 8.6374 Å, c = 8.6374 Å
α = 21.69°, β = 21.69°, γ = 21.69°
Fractional positions:
Cr: 0.0000 0.0000 0.0000
Co: 0.2601 0.2601 0.2601
Cl: 0.5392 0.5392 0.5392
Cl: 0.7247 0.7247 0.7247

## Properties
formation energy (no corrections): -187 meV/atom
calculated volume: 19.3 Å³ per atom
VASP energy: -5.293 eV/atom
D(E_F): 0.6 states/eV per cell


# 6
## CrCo2Cl (PBE)

Data for CrCo2Cl after structural relaxation.

a = 4.1843 Å, b = 4.1843 Å, c = 2.9059 Å
α = 90.00°, β = 90.00°, γ = 90.00°
Fractional positions:
Cr: 0.0000 0.0000 0.0000
Co: 0.0000 0.5000 0.5000
Co: 0.5000 0.0000 0.5000
Cl: 0.5000 0.5000 0.0000

## Properties
formation energy (no corrections): 781 meV/atom
calculated volume: 12.7 Å³ per atom
VASP energy: -5.640 eV/atom
D(E_F): 4.3 states/eV per cell


# 7
## CrCoCl2 (PBE)

Data for CrCoCl2 after structural relaxation.

a = 3.1184 Å, b = 7.6601 Å, c = 7.6601 Å
α = 24.32°, β = 90.00°, γ = 90.00°
Fractional positions:
Cr: 0.0000 0.0000 0.0000
Co: 0.5000 0.5775 0.5775
Cl: 0.0000 0.1573 0.1573
Cl: 0.5000 0.8848 0.8848

## Properties
formation energy (no corrections): -117 meV/atom
calculated volume: 18.8 Å³ per atom
VASP energy: -5.223 eV/atom
D(E_F): 3.5 states/eV per cell


# 8
## CrCoCl2 (PBE)

Data for CrCoCl2 after structural relaxation.

a = 3.1916 Å, b = 3.1916 Å, c = 8.7578 Å
α = 90.00°, β = 90.00°, γ = 113.25°
Fractional positions:
Cr: 0.0000 0.0000 0.0000
Co: 0.5000 0.5000 0.7725
Cl: 0.0000 0.0000 0.6142
Cl: 0.5000 0.5000 0.1801

## Properties
formation energy (no corrections): 10 meV/atom
calculated volume: 20.5 Å³ per atom
VASP energy: -5.096 eV/atom
D(E_F): 3.8 states/eV per cell


# 9
## CrCoCl2 (PBE)

Data for CrCoCl2 after structural relaxation.

a = 6.7801 Å, b = 6.7801 Å, c = 6.7801 Å
α = 150.14°, β = 150.14°, γ = 42.73°
Fractional positions:
Cr: 0.0000 0.0000 0.0000
Co: 0.7500 0.2500 0.5000
Cl: 0.2500 0.7500 0.5000
Cl: 0.5000 0.5000 0.0000

## Properties
formation energy (no corrections): 216 meV/atom
calculated volume: 19.3 Å³ per atom
VASP energy: -4.890 eV/atom
D(E_F): 5.0 states/eV per cell


# 10
## CrCo2Cl (PBE)

Data for CrCo2Cl after structural relaxation.

a = 5.0131 Å, b = 5.0131 Å, c = 5.0131 Å
α = 148.42°, β = 130.35°, γ = 60.04°
Fractional positions:
Cr: 0.0000 0.0000 0.0000
Co: 0.2641 0.7641 0.5000
Co: 0.7359 0.2359 0.5000
Cl: 0.5000 0.5000 0.0000

## Properties
formation energy (no corrections): 611 meV/atom
calculated volume: 12.5 Å³ per atom
VASP energy: -5.810 eV/atom
D(E_F): 6.3 states/eV per cell


# 11
## CrCo2Cl (PBE)

Data for CrCo2Cl after structural relaxation.

a = 5.7288 Å, b = 5.7288 Å, c = 5.7288 Å
α = 123.20°, β = 123.20°, γ = 84.54°
Fractional positions:
Cr: 0.0000 0.0000 0.0000
Cr: 0.7500 0.2500 0.5000
Co: 0.1124 0.6250 0.9874
Co: 0.3750 0.3624 0.4874
Co: 0.6376 0.1250 0.0126
Co: 0.8750 0.8876 0.5126
Cl: 0.2500 0.7500 0.5000
Cl: 0.5000 0.5000 0.0000

## Properties
formation energy (no corrections): 799 meV/atom
calculated volume: 15.7 Å³ per atom
VASP energy: -5.621 eV/atom
D(E_F): 9.1 states/eV per cell


# 12
## Cr4CoCl (PBE)

Data for Cr4CoCl after structural relaxation.

a = 4.7688 Å, b = 4.7688 Å, c = 4.7688 Å
α = 60.00°, β = 60.00°, γ = 60.00°
Fractional positions:
Cr: 0.3762 0.3762 0.3762
Cr: 0.3762 0.3762 0.8715
Cr: 0.3762 0.8715 0.3762
Cr: 0.8715 0.3762 0.3762
Co: 0.7500 0.7500 0.7500
Cl: 0.0000 0.0000 0.0000

## Properties
formation energy (no corrections): 888 meV/atom
calculated volume: 12.8 Å³ per atom
VASP energy: -7.019 eV/atom
D(E_F): 7.3 states/eV per cell